No. 1
CrInReP: optimized geometry, PBE.

Output
energy of formation = 0.09 eV per atom
DOS(E_F) = 0.522 states/eV/atom
total magnetization = 1.2 μB per cell
ΔE to the lowest computed polymorph = 71 meV/atom

Cell lengths 3.0833, 3.0833, 6.6168 Å; angles 90.00, 90.00, 90.00 degrees
Closest atoms and distances in Å follow each position.
Space group P4mm (No. 99)
Symmetry-distinct sites (fractional):
Cr  0.0000  0.0000  0.0000 x1  1 P 2.69, 4 Re 2.70, 4 In 2.80
In  0.5000  0.5000  0.7346 x1  4 Cr 2.80, 4 P 3.07, 4 In 3.08
Re  0.5000  0.5000  0.2411 x1  4 P 2.44, 4 Cr 2.70
P  0.0000  0.0000  0.4073 x1  4 Re 2.44, 1 Cr 2.69


No. 2
Y2TlSb: optimized geometry, PBE.

Output
raw formation energy = -0.57 eV per atom
DOS(E_F) = 1.068 states/eV/atom
total magnetization = 0.0 μB per cell
ΔE to the lowest computed polymorph = 181 meV/atom

Cell lengths 4.9998, 4.9998, 8.6908 Å; angles 90.00, 90.00, 90.00 degrees
Closest atoms and distances in Å follow each position.
Space group I4/mmm (No. 139)
Symmetry-distinct sites (fractional):
Y  0.0000  0.5000  0.2500 x4  4 Tl 3.31, 4 Sb 3.31, 4 Y 3.54
Tl  0.0000  0.0000  0.0000 x2  8 Y 3.31, 4 Sb 3.54
Sb  0.0000  0.0000  0.5000 x2  8 Y 3.31, 4 Tl 3.54


No. 3
GaNiIrC: optimized geometry, PBE.

Output
energy of formation = 0.26 eV per atom
DOS(E_F) = 0.392 states/eV/atom
total magnetization = 0.0 μB per cell
ΔE to the lowest computed polymorph = 140 meV/atom

Cell lengths 2.8732, 3.6440, 5.1875 Å; angles 90.00, 90.00, 90.00 degrees
Closest atoms and distances in Å follow each position.
Space group Pmm2 (No. 25)
Symmetry-distinct sites (fractional):
Ga  0.0000  0.0000  0.0000 x1  4 Ni 2.63, 4 Ir 2.71, 2 Ga 2.87
Ni  0.5000  0.5000  0.7597 x1  2 C 1.87
Ir  0.5000  0.5000  0.2685 x1  2 C 1.98
C  0.0000  0.5000  0.5303 x1  2 Ni 1.87, 2 Ir 1.98


No. 4
CaEr2Pb: optimized geometry, PBE.

Output
energy of formation = 0.01 eV per atom
DOS(E_F) = 1.326 states/eV/atom
total magnetization = 0.0 μB per cell
ΔE to the lowest computed polymorph = 228 meV/atom

Cell lengths 5.1730, 5.1730, 18.1040 Å; angles 90.00, 90.00, 120.00 degrees
Closest atoms and distances in Å follow each position.
Space group R3m (No. 160, hexagonal axes)
Symmetry-distinct sites (fractional):
Ca  0.0000  0.0000  0.0000 x3  1 Pb 3.41, 6 Er 3.53-3.67
Er  0.0000  0.0000  0.2156 x3  3 Pb 3.25, 3 Er 3.61
Er  0.0000  0.0000  0.4370 x3  3 Pb 3.08
Pb  0.0000  0.0000  0.8118 x3  6 Er 3.08-3.25, 1 Ca 3.41


No. 5
La2NdErSe4: optimized geometry, PBE.

Output
raw formation energy = -1.88 eV per atom
DOS(E_F) = 0.674 states/eV/atom
total magnetization = 0.0 μB per cell

Cell lengths 7.3292, 4.1747, 7.3662 Å; angles 90.00, 108.89, 90.00 degrees
Closest atoms and distances in Å follow each position.
Space group P2/m (No. 10)
Symmetry-distinct sites (fractional):
La  0.0000  0.0000  0.0000 x1  6 Se 3.09
La  0.5000  0.5000  0.0000 x1  6 Se 3.01
Nd  0.0000  0.5000  0.5000 x1  6 Se 2.97
Er  0.5000  0.0000  0.5000 x1  6 Se 2.89
Se  0.2549  0.0000  0.7387 x2  1 Er 2.89, 2 Nd 2.97, 3 La 3.01-3.09
Se  0.2644  0.5000  0.2675 x2  2 Er 2.89, 1 Nd 2.97, 3 La 3.01-3.09


No. 6
Mg5AgPd8: optimized geometry, PBE.

Output
energy of formation = -0.43 eV per atom
DOS(E_F) = 0.319 states/eV/atom
total magnetization = 0.0 μB per cell

Cell lengths 7.7426, 7.7426, 7.9024 Å; angles 90.00, 90.00, 90.00 degrees
Closest atoms and distances in Å follow each position.
Space group I-4 (No. 82)
Symmetry-distinct sites (fractional):
Mg  0.0000  0.0000  0.0000 x2  8 Pd 2.55-2.72
Mg  0.1299  0.2265  0.4057 x8  8 Pd 2.66-2.78
Ag  0.0000  0.5000  0.7500 x2  8 Pd 2.70-3.01
Pd  0.0730  0.3325  0.0856 x8  5 Mg 2.70-2.78, 3 Pd 2.83-2.98, 1 Ag 3.01
Pd  0.0913  0.1638  0.7340 x8  5 Mg 2.55-2.74, 1 Ag 2.70, 1 Pd 2.85